Version A
The following is a DFT calculation (GGA-PBE) of crystalline HfZn3Sn at its relaxed geometry.

```
HfZn3Sn
1.0
5.177 0.000 0.000
0.000 5.177 0.000
0.000 0.000 5.177
Hf Zn Sn
1 3 1
Direct
0.000 0.000 0.000
0.000 0.000 0.500
0.000 0.500 0.000
0.500 0.000 0.000
0.500 0.500 0.500
```

Computed properties:
Density of states at the Fermi level   0.886 states/eV per atom
Space group   Pm-3m (221)
Total moment   0.000 μB/f.u.

---

Version B
The following is a DFT calculation (GGA-PBE) of crystalline HfZn3Sn at its relaxed geometry.

```
HfZn3Sn
1.0
4.961 0.000 0.000
0.000 4.961 0.000
0.000 0.000 4.961
Hf Zn Sn
1 3 1
Direct
0.000 0.000 0.000
0.000 0.500 0.500
0.500 0.000 0.500
0.500 0.500 0.000
0.500 0.500 0.500
```

Computed properties:
Density of states at the Fermi level   0.298 states/eV per atom
Space group   Pm-3m (221)
Total moment   0.000 μB/f.u.

---

What should be chosen as the least stable of them? Choose version B.

---

Version A
The following is a DFT calculation (GGA-PBE) of crystalline Hf3ZrSn at its relaxed geometry.

```
Hf3ZrSn
1.0
2.868 -7.437 0.000
2.868 7.437 0.000
0.000 0.000 5.617
Hf Zr Sn
6 2 2
Direct
0.000 0.000 0.000
0.000 0.000 0.500
0.100 0.409 0.750
0.409 0.100 0.250
0.591 0.900 0.750
0.900 0.591 0.250
0.447 0.553 0.250
0.553 0.447 0.750
0.170 0.830 0.750
0.830 0.170 0.250
```

Computed properties:
Density of states at the Fermi level   1.202 states/eV per atom
Space group   Cmcm (63)
Total moment   0.000 μB/f.u.

---

Version B
The following is a DFT calculation (GGA-PBE) of crystalline Hf3ZrSn at its relaxed geometry.

```
Hf3ZrSn
1.0
5.217 0.000 0.000
0.000 5.217 0.000
0.000 0.000 5.217
Hf Zr Sn
3 1 1
Direct
0.000 0.000 0.500
0.000 0.500 0.000
0.500 0.000 0.000
0.500 0.500 0.500
0.000 0.000 0.000
```

Computed properties:
Density of states at the Fermi level   1.364 states/eV per atom
Space group   Pm-3m (221)
Total moment   1.345 μB/f.u.

---

What should be chosen as the least stable of them? Choose version B.

---

Version A
The following is a DFT calculation (GGA-PBE) of crystalline Hf3ZrSn at its relaxed geometry.

```
Hf3ZrSn
1.0
-2.655 2.655 10.263
2.655 -2.655 10.263
2.655 2.655 -10.263
Hf Zr Sn
6 2 2
Direct
0.125 0.375 0.750
0.176 0.176 0.000
0.625 0.375 0.250
0.625 0.375 0.750
0.625 0.875 0.250
0.824 0.824 0.000
0.071 0.571 0.500
0.429 0.929 0.500
0.500 0.500 0.000
0.750 0.250 0.500
```

Computed properties:
Density of states at the Fermi level   1.284 states/eV per atom
Space group   I-4m2 (119)
Total moment   0.000 μB/f.u.

---

Version B
The following is a DFT calculation (GGA-PBE) of crystalline Hf3ZrSn at its relaxed geometry.

```
Hf3ZrSn
1.0
5.120 0.000 0.000
0.000 5.120 0.000
0.000 0.000 5.120
Hf Zr Sn
3 1 1
Direct
0.000 0.000 0.500
0.000 0.500 0.000
0.500 0.000 0.000
0.000 0.000 0.000
0.500 0.500 0.500
```

Computed properties:
Density of states at the Fermi level   1.407 states/eV per atom
Space group   Pm-3m (221)
Total moment   0.000 μB/f.u.

---

What should be chosen as the least stable of them? Choose version B.

---

Version A
The following is a DFT calculation (GGA-PBE) of crystalline HfZr3Sn2 at its relaxed geometry.

```
HfZr3Sn2
1.0
7.322 -2.986 0.000
7.322 2.986 0.000
-1.465 0.000 6.387
Hf Zr Sn
2 6 4
Direct
0.233 0.767 0.750
0.767 0.233 0.250
0.178 0.178 0.089
0.178 0.178 0.589
0.229 0.771 0.250
0.771 0.229 0.750
0.822 0.822 0.411
0.822 0.822 0.911
0.356 0.357 0.428
0.357 0.356 0.928
0.643 0.644 0.072
0.644 0.643 0.572
```

Computed properties:
Density of states at the Fermi level   1.176 states/eV per atom
Space group   C2/c (15)
Total moment   0.000 μB/f.u.

---

Version B
The following is a DFT calculation (GGA-PBE) of crystalline HfZr3Sn2 at its relaxed geometry.

```
HfZr3Sn2
1.0
4.141 0.000 0.000
0.000 4.141 0.000
0.000 0.000 8.045
Hf Zr Sn
1 3 2
Direct
0.000 0.000 0.000
0.000 0.500 0.355
0.500 0.000 0.645
0.500 0.500 0.000
0.000 0.500 0.723
0.500 0.000 0.277
```

Computed properties:
Density of states at the Fermi level   0.551 states/eV per atom
Space group   P-4m2 (115)
Total moment   0.000 μB/f.u.

---

What should be chosen as the least stable of them? Choose version A.